Entry 1:
# LaAl7Zn5 (GGA-PBE, optimized geometry)
data_LaAl7Zn5
_chemical_formula_sum 'La1 Al7 Zn5'
_symmetry_space_group_name_H-M 'P 1'
_symmetry_Int_Tables_number 1
_cell_length_a 7.060
_cell_length_b 7.060
_cell_length_c 7.060
_cell_angle_alpha 136.16
_cell_angle_beta 97.98
_cell_angle_gamma 98.05
loop_
_symmetry_equiv_pos_as_xyz
'x,y,z'
loop_
_atom_site_label
_atom_site_fract_x
_atom_site_fract_y
_atom_site_fract_z
_atom_site_occupancy
La1 0.000 0.000 0.000 1
Al1 0.215 0.715 0.500 1
Al2 0.219 0.498 0.721 1
Al3 0.351 0.996 0.355 1
Al4 0.353 0.353 0.000 1
Al5 0.641 0.641 0.000 1
Al6 0.641 0.996 0.645 1
Al7 0.777 0.498 0.279 1
Zn1 0.500 0.497 0.502 1
Zn2 0.500 0.998 0.003 1
Zn3 0.780 0.280 0.500 1
Zn4 0.995 0.497 0.997 1
Zn5 0.995 0.998 0.498 1
# **Total DFT energy (no corrections)**: -3.02 eV/atom

Entry 2:
# CaScAg2F (GGA-PBE, optimized geometry)
data_CaScAg2F
_chemical_formula_sum 'Ca1 Sc1 Ag2 F1'
_symmetry_space_group_name_H-M 'P 1'
_symmetry_Int_Tables_number 1
_cell_length_a 5.414
_cell_length_b 5.414
_cell_length_c 3.944
_cell_angle_alpha 90.00
_cell_angle_beta 90.00
_cell_angle_gamma 90.00
loop_
_symmetry_equiv_pos_as_xyz
'x,y,z'
loop_
_atom_site_label
_atom_site_fract_x
_atom_site_fract_y
_atom_site_fract_z
_atom_site_occupancy
Ca1 0.000 0.000 0.000 1
Sc1 0.500 0.500 0.000 1
Ag1 0.000 0.500 0.500 1
Ag2 0.500 0.000 0.500 1
F1 0.500 0.500 0.500 1
# **Uncorrected formation energy**: -0.794 eV per atom

Entry 3:
# Nd4Fe3B6 (GGA-PBE, optimized geometry)
data_Nd4Fe3B6
_chemical_formula_sum 'Nd4 Fe3 B6'
_symmetry_space_group_name_H-M 'P 1'
_symmetry_Int_Tables_number 1
_cell_length_a 8.172
_cell_length_b 8.172
_cell_length_c 8.172
_cell_angle_alpha 38.57
_cell_angle_beta 38.57
_cell_angle_gamma 38.57
loop_
_symmetry_equiv_pos_as_xyz
'x,y,z'
loop_
_atom_site_label
_atom_site_fract_x
_atom_site_fract_y
_atom_site_fract_z
_atom_site_occupancy
Nd1 0.089 0.089 0.089 1
Nd2 0.243 0.243 0.243 1
Nd3 0.757 0.757 0.757 1
Nd4 0.911 0.911 0.911 1
Fe1 0.384 0.384 0.384 1
Fe2 0.500 0.500 0.500 1
Fe3 0.616 0.616 0.616 1
B1 0.000 0.333 0.667 1
B2 0.000 0.667 0.333 1
B3 0.333 0.000 0.667 1
B4 0.333 0.667 0.000 1
B5 0.667 0.000 0.333 1
B6 0.667 0.333 0.000 1
# **Total DFT energy (no corrections)**: -6.79 eV/atom

Entry 4:
# SmTlH (GGA-PBE, optimized geometry)
data_SmTlH
_chemical_formula_sum 'Sm1 Tl1 H1'
_symmetry_space_group_name_H-M 'P 1'
_symmetry_Int_Tables_number 1
_cell_length_a 6.396
_cell_length_b 6.396
_cell_length_c 6.396
_cell_angle_alpha 150.20
_cell_angle_beta 150.20
_cell_angle_gamma 42.64
loop_
_symmetry_equiv_pos_as_xyz
'x,y,z'
loop_
_atom_site_label
_atom_site_fract_x
_atom_site_fract_y
_atom_site_fract_z
_atom_site_occupancy
Sm1 0.000 0.000 0.000 1
Tl1 0.272 0.272 0.000 1
H1 0.534 0.534 0.000 1
# **Total DFT energy (no corrections)**: -3.65 eV/atom

Entry 5:
# TaV5C3 (GGA-PBE, optimized geometry)
data_TaV5C3
_chemical_formula_sum 'Ta2 V10 C6'
_symmetry_space_group_name_H-M 'P 1'
_symmetry_Int_Tables_number 1
_cell_length_a 5.706
_cell_length_b 5.706
_cell_length_c 7.593
_cell_angle_alpha 110.49
_cell_angle_beta 110.49
_cell_angle_gamma 72.05
loop_
_symmetry_equiv_pos_as_xyz
'x,y,z'
loop_
_atom_site_label
_atom_site_fract_x
_atom_site_fract_y
_atom_site_fract_z
_atom_site_occupancy
Ta1 0.104 0.104 0.305 1
Ta2 0.896 0.896 0.695 1
V1 0.037 0.634 0.325 1
V2 0.237 0.237 0.030 1
V3 0.300 0.700 0.000 1
V4 0.366 0.963 0.675 1
V5 0.430 0.430 0.635 1
V6 0.570 0.570 0.365 1
V7 0.634 0.037 0.325 1
V8 0.700 0.300 0.000 1
V9 0.763 0.763 0.970 1
V10 0.963 0.366 0.675 1
C1 0.000 0.000 0.000 1
C2 0.000 0.000 0.500 1
C3 0.333 0.333 0.835 1
C4 0.344 0.344 0.333 1
C5 0.656 0.656 0.667 1
C6 0.667 0.667 0.165 1
# **Total DFT energy (no corrections)**: -9.87 eV/atom

Entry 6:
# Ti6InSn (GGA-PBE, optimized geometry)
data_Ti6InSn
_chemical_formula_sum 'Ti6 In1 Sn1'
_symmetry_space_group_name_H-M 'P 1'
_symmetry_Int_Tables_number 1
_cell_length_a 5.902
_cell_length_b 5.902
_cell_length_c 4.772
_cell_angle_alpha 90.00
_cell_angle_beta 90.00
_cell_angle_gamma 120.00
loop_
_symmetry_equiv_pos_as_xyz
'x,y,z'
loop_
_atom_site_label
_atom_site_fract_x
_atom_site_fract_y
_atom_site_fract_z
_atom_site_occupancy
Ti1 0.006 0.503 0.000 1
Ti2 0.168 0.337 0.500 1
Ti3 0.168 0.832 0.500 1
Ti4 0.497 0.503 0.000 1
Ti5 0.497 0.994 0.000 1
Ti6 0.663 0.832 0.500 1
In1 0.667 0.333 0.500 1
Sn1 0.000 0.000 0.000 1
# **Total DFT energy (no corrections)**: -6.98 eV/atom